Computed, not measured: a geometry-optimized TiCuN2 structure at the PBE-GGA level of DFT.

a b c (Å): 3.7105 3.7105 3.7105
angles (deg): 60.00 60.00 60.00
With the nearest neighbours (Å) after each atom.
Element x y z (fractional)
Cu 0.5000 0.5000 0.5000  8 N 2.27
Ti 0.0000 0.0000 0.0000  8 N 2.27
N 0.7500 0.7500 0.7500  4 Cu 2.27, 4 Ti 2.27
N 0.2500 0.2500 0.2500  4 Cu 2.27, 4 Ti 2.27

E_tot, eV per atom: -6.979
ΔE_f (raw), eV per atom: 0.18

=====

Computed, not measured: a geometry-optimized AcUBi3 structure at the PBE-GGA level of DFT.

a b c (Å): 5.8612 5.8612 5.8612
angles (deg): 90.00 90.00 90.00
With the nearest neighbours (Å) after each atom.
Element x y z (fractional)
Bi 0.0000 0.5000 0.0000  2 U 2.93
U 0.0000 0.0000 0.0000  6 Bi 2.93
Bi 0.0000 0.0000 0.5000  2 U 2.93
Ac 0.5000 0.5000 0.5000  12 Bi 4.14
Bi 0.5000 0.0000 0.0000  2 U 2.93

E_tot, eV per atom: -5.348
DFT formation energy, eV/atom: 0.06

=====

Computed, not measured: a geometry-optimized Ba2AcI structure at the PBE-GGA level of DFT.

a b c (Å): 4.3679 4.3679 12.1749
angles (deg): 79.67 79.67 60.00
With the nearest neighbours (Å) after each atom.
Element x y z (fractional)
Ac 0.4997 0.4997 0.5008  6 Ba 4.14-4.16, 6 Ac 4.37
Ba 0.2589 0.2589 0.2234  3 I 3.67
I 0.6669 0.6669 0.9994  6 Ba 3.66-3.67
Ba 0.0745 0.0745 0.7764  3 I 3.66

E_tot, eV per atom: -2.971
ΔE_f (raw), eV per atom: -0.59

=====

Computed, not measured: a geometry-optimized ZrAlPt structure at the PBE-GGA level of DFT.

a b c (Å): 7.1061 7.1061 7.3967
angles (deg): 90.00 90.00 120.00
With the nearest neighbours (Å) after each atom.
Element x y z (fractional)
Zr 0.0200 0.4144 0.2500  5 Pt 2.81-2.90, 4 Al 3.04-3.06
Pt 0.3333 0.6667 0.5273  3 Al 2.69, 6 Zr 2.81-2.90
Zr 0.9800 0.3943 0.7500  5 Pt 2.81-2.90, 4 Al 3.04-3.06
Al 0.2569 0.2569 0.5000  4 Pt 2.60-2.69
Pt 0.0000 0.0000 0.7500  6 Al 2.60, 3 Zr 2.88
Pt 0.6667 0.3333 0.0273  3 Al 2.69, 6 Zr 2.81-2.90
Zr 0.4144 0.0200 0.7500  5 Pt 2.81-2.90, 4 Al 3.04-3.06
Pt 0.3333 0.6667 0.9727  3 Al 2.69, 6 Zr 2.81-2.90
Zr 0.6057 0.5856 0.7500  5 Pt 2.81-2.90, 4 Al 3.04-3.06
Zr 0.3943 0.9800 0.2500  5 Pt 2.81-2.90, 4 Al 3.04-3.06
Al 0.7431 0.0000 0.5000  4 Pt 2.60-2.69
Al 0.0000 0.7431 0.5000  4 Pt 2.60-2.69
Al 0.0000 0.7431 0.0000  4 Pt 2.60-2.69
Al 0.2569 0.2569 0.0000  4 Pt 2.60-2.69
Zr 0.5856 0.6057 0.2500  5 Pt 2.81-2.90, 4 Al 3.04-3.06
Al 0.7431 0.0000 0.0000  4 Pt 2.60-2.69
Pt 0.6667 0.3333 0.4727  3 Al 2.69, 6 Zr 2.81-2.90
Pt 0.0000 0.0000 0.2500  6 Al 2.60, 3 Zr 2.88

E_tot, eV per atom: -7.166
DFT formation energy, eV/atom: -1.06

=====

Computed, not measured: a geometry-optimized Cd2RhAu structure at the PBE-GGA level of DFT.

a b c (Å): 7.4764 7.4764 6.0016
angles (deg): 51.47 51.47 90.00
With the nearest neighbours (Å) after each atom.
Element x y z (fractional)
Cd 0.8750 0.8670 0.7500  2 Rh 2.70, 2 Au 2.78, 2 Cd 2.84
Au 0.0000 0.0000 0.0000  4 Cd 2.78, 2 Rh 2.84
Au 0.7500 0.2500 0.5000  4 Cd 2.78, 2 Rh 2.84
Rh 0.5000 0.5000 0.0000  4 Cd 2.70, 2 Au 2.84
Rh 0.2500 0.7500 0.5000  4 Cd 2.70, 2 Au 2.84
Cd 0.6170 0.1250 0.2500  2 Rh 2.70, 2 Au 2.78, 2 Cd 2.84
Cd 0.3750 0.3830 0.7500  2 Rh 2.70, 2 Au 2.78, 2 Cd 2.84
Cd 0.1330 0.6250 0.2500  2 Rh 2.70, 2 Au 2.78, 2 Cd 2.84

E_tot, eV per atom: -2.988
DFT formation energy, eV/atom: 0.13

=====

Computed, not measured: a geometry-optimized Pr2Sc2Tl3 structure at the PBE-GGA level of DFT.

a b c (Å): 4.5868 3.3752 12.5679
angles (deg): 90.00 79.49 90.00
With the nearest neighbours (Å) after each atom.
Element x y z (fractional)
Sc 0.2910 0.5000 0.4180  4 Tl 3.06, 4 Sc 3.06-3.38, 1 Pr 3.26
Tl 0.0000 0.0000 0.0000  2 Tl 3.38, 8 Pr 3.43
Tl 0.1639 0.0000 0.6723  4 Sc 3.06, 2 Tl 3.38
Sc 0.7090 0.5000 0.5820  4 Tl 3.06, 4 Sc 3.06-3.38, 1 Pr 3.26
Pr 0.5772 0.5000 0.8456  1 Sc 3.26, 2 Pr 3.38, 8 Tl 3.43-3.56
Tl 0.8361 0.0000 0.3277  4 Sc 3.06, 2 Tl 3.38
Pr 0.4228 0.5000 0.1544  1 Sc 3.26, 2 Pr 3.38, 8 Tl 3.43-3.56

E_tot, eV per atom: -4.407
DFT formation energy, eV/atom: -0.22